(1)
! HoAlPb2S5 (PBE, optimized geometry); values from VASP
&SYSTEM
  ibrav = 0, nat = 18, ntyp = 4
/
ATOMIC_SPECIES
Pb 207.20 Pb.upf
S 32.06 S.upf
Ho 164.93 Ho.upf
Al 26.98 Al.upf
ATOMIC_POSITIONS crystal
Pb 0.879 0.757 0.826
Pb 0.869 0.738 0.170
Pb 0.131 0.262 0.670
Pb 0.121 0.243 0.326
S 0.350 0.701 0.015
S 0.509 0.019 0.276
S 0.295 0.591 0.675
S 0.039 0.077 0.023
S 0.491 0.981 0.776
S 0.961 0.923 0.523
S 0.650 0.299 0.515
S 0.680 0.360 0.882
S 0.705 0.409 0.175
S 0.320 0.640 0.382
Ho 0.801 0.601 0.530
Ho 0.199 0.399 0.030
Al 0.445 0.891 0.426
Al 0.555 0.109 0.926
CELL_PARAMETERS angstrom
3.907 0.000 0.000
-1.953 8.839 0.000
0.000 0.000 12.827
! Total DFT energy (no corrections)   -5.1570 eV/atom
! Total magnetic moment   0.0 μB per formula unit
! Energy relative to the elements, uncorrected   -1.1154 eV/atom
! Space-group type   Cmc2_1, No. 36

(2)
! HoAlPb2Se5 (PBE, optimized geometry); values from VASP
&SYSTEM
  ibrav = 0, nat = 18, ntyp = 4
/
ATOMIC_SPECIES
Pb 207.20 Pb.upf
Ho 164.93 Ho.upf
Se 78.96 Se.upf
Al 26.98 Al.upf
ATOMIC_POSITIONS crystal
Pb 0.117 0.233 0.328
Pb 0.883 0.767 0.828
Pb 0.861 0.723 0.172
Pb 0.139 0.277 0.672
Ho 0.803 0.605 0.530
Ho 0.197 0.395 0.030
Se 0.349 0.698 0.016
Se 0.701 0.402 0.179
Se 0.316 0.633 0.378
Se 0.492 0.984 0.771
Se 0.038 0.075 0.027
Se 0.684 0.367 0.878
Se 0.508 0.016 0.271
Se 0.962 0.925 0.527
Se 0.299 0.598 0.679
Se 0.651 0.302 0.516
Al 0.557 0.114 0.924
Al 0.443 0.886 0.424
CELL_PARAMETERS angstrom
4.059 0.000 0.000
-2.030 9.276 0.000
0.000 0.000 13.324
! Total DFT energy (no corrections)   -4.6929 eV/atom
! Total magnetic moment   0.0 μB per formula unit
! Energy relative to the elements, uncorrected   -1.0085 eV/atom
! Space-group type   Cmc2_1, No. 36

Which value of total magnetic moment does entry 1 give?
0.0 μB per formula unit

What did the second record say?
! HoAlPb2Se5 (PBE, optimized geometry); values from VASP
&SYSTEM
  ibrav = 0, nat = 18, ntyp = 4
/
ATOMIC_SPECIES
Pb 207.20 Pb.upf
Ho 164.93 Ho.upf
Se 78.96 Se.upf
Al 26.98 Al.upf
ATOMIC_POSITIONS crystal
Pb 0.117 0.233 0.328
Pb 0.883 0.767 0.828
Pb 0.861 0.723 0.172
Pb 0.139 0.277 0.672
Ho 0.803 0.605 0.530
Ho 0.197 0.395 0.030
Se 0.349 0.698 0.016
Se 0.701 0.402 0.179
Se 0.316 0.633 0.378
Se 0.492 0.984 0.771
Se 0.038 0.075 0.027
Se 0.684 0.367 0.878
Se 0.508 0.016 0.271
Se 0.962 0.925 0.527
Se 0.299 0.598 0.679
Se 0.651 0.302 0.516
Al 0.557 0.114 0.924
Al 0.443 0.886 0.424
CELL_PARAMETERS angstrom
4.059 0.000 0.000
-2.030 9.276 0.000
0.000 0.000 13.324
! Total DFT energy (no corrections)   -4.6929 eV/atom
! Total magnetic moment   0.0 μB per formula unit
! Energy relative to the elements, uncorrected   -1.0085 eV/atom
! Space-group type   Cmc2_1, No. 36